(1)
Entry from the Alexandria database: a relaxed structure of KCrIr3 (PBE).

```
data_KCrIr3
_symmetry_space_group_name_H-M 'P 1'
_symmetry_Int_Tables_number 1
_cell_length_a 4.609
_cell_length_b 4.609
_cell_length_c 4.609
_cell_angle_alpha 90.00
_cell_angle_beta 90.00
_cell_angle_gamma 90.00
loop_
_symmetry_equiv_pos_as_xyz
'x,y,z'
loop_
_atom_site_label
_atom_site_type_symbol
_atom_site_fract_x
_atom_site_fract_y
_atom_site_fract_z
K1 K 0.000 0.000 0.000
Cr1 Cr 0.500 0.500 0.500
Ir1 Ir 0.000 0.500 0.500
Ir2 Ir 0.500 0.000 0.500
Ir3 Ir 0.500 0.500 0.000
```

=====

(2)
Entry from the Alexandria database: a relaxed structure of K2CrIr (PBE).

```
data_K2CrIr
_symmetry_space_group_name_H-M 'P 1'
_symmetry_Int_Tables_number 1
_cell_length_a 6.175
_cell_length_b 6.175
_cell_length_c 6.175
_cell_angle_alpha 141.05
_cell_angle_beta 141.05
_cell_angle_gamma 56.27
loop_
_symmetry_equiv_pos_as_xyz
'x,y,z'
loop_
_atom_site_label
_atom_site_type_symbol
_atom_site_fract_x
_atom_site_fract_y
_atom_site_fract_z
K1 K 0.250 0.750 0.500
K2 K 0.750 0.250 0.500
Cr1 Cr 0.000 0.000 0.000
Ir1 Ir 0.500 0.500 0.000
```

=====

(3)
Entry from the Alexandria database: a relaxed structure of KCrIr3 (PBE).

```
data_KCrIr3
_symmetry_space_group_name_H-M 'P 1'
_symmetry_Int_Tables_number 1
_cell_length_a 4.622
_cell_length_b 4.622
_cell_length_c 4.622
_cell_angle_alpha 90.00
_cell_angle_beta 90.00
_cell_angle_gamma 90.00
loop_
_symmetry_equiv_pos_as_xyz
'x,y,z'
loop_
_atom_site_label
_atom_site_type_symbol
_atom_site_fract_x
_atom_site_fract_y
_atom_site_fract_z
K1 K 0.000 0.000 0.000
Cr1 Cr 0.500 0.500 0.500
Ir1 Ir 0.000 0.000 0.500
Ir2 Ir 0.000 0.500 0.000
Ir3 Ir 0.500 0.000 0.000
```

=====

(4)
Entry from the Alexandria database: a relaxed structure of K2CrIr (PBE).

```
data_K2CrIr
_symmetry_space_group_name_H-M 'P 1'
_symmetry_Int_Tables_number 1
_cell_length_a 3.023
_cell_length_b 3.844
_cell_length_c 10.163
_cell_angle_alpha 90.00
_cell_angle_beta 91.14
_cell_angle_gamma 90.00
loop_
_symmetry_equiv_pos_as_xyz
'x,y,z'
loop_
_atom_site_label
_atom_site_type_symbol
_atom_site_fract_x
_atom_site_fract_y
_atom_site_fract_z
K1 K 0.000 0.000 0.000
K2 K 0.455 0.500 0.420
Cr1 Cr 0.479 0.500 0.740
Ir1 Ir 0.974 0.000 0.671
```

=====

(5)
Entry from the Alexandria database: a relaxed structure of K2CrIr (PBE).

```
data_K2CrIr
_symmetry_space_group_name_H-M 'P 1'
_symmetry_Int_Tables_number 1
_cell_length_a 6.224
_cell_length_b 6.224
_cell_length_c 2.968
_cell_angle_alpha 90.00
_cell_angle_beta 90.00
_cell_angle_gamma 124.32
loop_
_symmetry_equiv_pos_as_xyz
'x,y,z'
loop_
_atom_site_label
_atom_site_type_symbol
_atom_site_fract_x
_atom_site_fract_y
_atom_site_fract_z
K1 K 0.000 0.500 0.000
K2 K 0.500 0.000 0.000
Cr1 Cr 0.000 0.000 0.500
Ir1 Ir 0.500 0.500 0.500
```

=====

(6)
Entry from the Alexandria database: a relaxed structure of KCrIr (PBE).

```
data_KCrIr
_symmetry_space_group_name_H-M 'P 1'
_symmetry_Int_Tables_number 1
_cell_length_a 4.878
_cell_length_b 4.878
_cell_length_c 2.929
_cell_angle_alpha 90.00
_cell_angle_beta 90.00
_cell_angle_gamma 120.00
loop_
_symmetry_equiv_pos_as_xyz
'x,y,z'
loop_
_atom_site_label
_atom_site_type_symbol
_atom_site_fract_x
_atom_site_fract_y
_atom_site_fract_z
K1 K 0.000 0.000 0.000
Cr1 Cr 0.667 0.333 0.500
Ir1 Ir 0.333 0.667 0.500
```

=====

(7)
Entry from the Alexandria database: a relaxed structure of K2CrIr (PBE).

```
data_K2CrIr
_symmetry_space_group_name_H-M 'P 1'
_symmetry_Int_Tables_number 1
_cell_length_a 6.215
_cell_length_b 6.215
_cell_length_c 6.215
_cell_angle_alpha 141.09
_cell_angle_beta 124.21
_cell_angle_gamma 70.10
loop_
_symmetry_equiv_pos_as_xyz
'x,y,z'
loop_
_atom_site_label
_atom_site_type_symbol
_atom_site_fract_x
_atom_site_fract_y
_atom_site_fract_z
K1 K 0.000 0.000 0.000
K2 K 0.696 0.196 0.500
Cr1 Cr 0.395 0.395 0.000
Ir1 Ir 0.291 0.791 0.500
```

=====

(8)
Entry from the Alexandria database: a relaxed structure of K2CrIr (PBE).

```
data_K2CrIr
_symmetry_space_group_name_H-M 'P 1'
_symmetry_Int_Tables_number 1
_cell_length_a 7.879
_cell_length_b 7.879
_cell_length_c 7.879
_cell_angle_alpha 95.25
_cell_angle_beta 95.25
_cell_angle_gamma 144.79
loop_
_symmetry_equiv_pos_as_xyz
'x,y,z'
loop_
_atom_site_label
_atom_site_type_symbol
_atom_site_fract_x
_atom_site_fract_y
_atom_site_fract_z
K1 K 0.007 0.625 0.882
K2 K 0.375 0.257 0.382
K3 K 0.743 0.125 0.118
K4 K 0.875 0.993 0.618
Cr1 Cr 0.250 0.750 0.500
Cr2 Cr 0.500 0.500 0.000
Ir1 Ir 0.000 0.000 0.000
Ir2 Ir 0.750 0.250 0.500
```

=====

Per-record spin magnetization, μB/f.u.: 0.00 4.24 1.09 3.11 4.38 3.97 3.41 4.52
Per-record E above lowest polymorph, eV/atom: 0.0000 0.5559 2.3376 0.0000 0.6379 0.6245 0.2011 0.4309
Per-record formation energy from the elements, eV per atom: 1.1112 1.0530 3.4489 0.4970 1.1349 1.1303 0.6982 0.9279